A relaxed Re3Ir12Rh5 crystal, computed with PBE.

a b c (Å): 12.5569 12.5569 12.5569
angles (deg): 109.47 109.47 109.47
Atoms (fractional coordinates):
Rh (0.0000, 0.5000, 0.5000)
Rh (0.5000, 0.5000, 0.5000)
Rh (0.8750, 0.2500, 0.6250)
Rh (0.2500, 0.8750, 0.1250)
Rh (0.0000, 0.5000, 0.0000)
Rh (0.7500, 0.1250, 0.8750)
Rh (0.5000, 0.0000, 0.0000)
Rh (0.3750, 0.2500, 0.1250)
Rh (0.2500, 0.3750, 0.6250)
Rh (0.0000, 0.0000, 0.0000)
Rh (0.5000, 0.5000, 0.0000)
Rh (0.0000, 0.0000, 0.5000)
Rh (0.7500, 0.6250, 0.3750)
Rh (0.1250, 0.7500, 0.3750)
Rh (0.8750, 0.6250, 0.7500)
Rh (0.6250, 0.7500, 0.8750)
Rh (0.1250, 0.3750, 0.2500)
Rh (0.5000, 0.0000, 0.5000)
Rh (0.6250, 0.8750, 0.2500)
Rh (0.3750, 0.1250, 0.7500)
Ir (0.9345, 0.5768, 0.1646)
Ir (0.3354, 0.7699, 0.4122)
Ir (0.1423, 0.4122, 0.0768)
Ir (0.1646, 0.0768, 0.9345)
Ir (0.9232, 0.0878, 0.8577)
Ir (0.2301, 0.6646, 0.0878)
Ir (0.0768, 0.9122, 0.1423)
Ir (0.5655, 0.3354, 0.9232)
Ir (0.4232, 0.3577, 0.5878)
Ir (0.9122, 0.8354, 0.7699)
Ir (0.7301, 0.1423, 0.0655)
Ir (0.5655, 0.2301, 0.1423)
Ir (0.6423, 0.5768, 0.9122)
Ir (0.5878, 0.8577, 0.4232)
Ir (0.5878, 0.7301, 0.6646)
Ir (0.8577, 0.5878, 0.9232)
Ir (0.4122, 0.1423, 0.5768)
Ir (0.7699, 0.3354, 0.9122)
Ir (0.0878, 0.1646, 0.2301)
Ir (0.0878, 0.9232, 0.3577)
Ir (0.1646, 0.0878, 0.7301)
Ir (0.5768, 0.9345, 0.6646)
Ir (0.9345, 0.3577, 0.2699)
Ir (0.2301, 0.5655, 0.6423)
Ir (0.8354, 0.9232, 0.0655)
Ir (0.1423, 0.7301, 0.5655)
Ir (0.8577, 0.2699, 0.4345)
Ir (0.9232, 0.8354, 0.5655)
Ir (0.3577, 0.9345, 0.7699)
Ir (0.7301, 0.5878, 0.1646)
Ir (0.4345, 0.7699, 0.8577)
Ir (0.0655, 0.4232, 0.8354)
Ir (0.3354, 0.5655, 0.4232)
Ir (0.3577, 0.4232, 0.0878)
Ir (0.0655, 0.6423, 0.7301)
Ir (0.4345, 0.6646, 0.0768)
Ir (0.6423, 0.0655, 0.2301)
Ir (0.5768, 0.6423, 0.4122)
Ir (0.2699, 0.4122, 0.8354)
Ir (0.0768, 0.1646, 0.4345)
Ir (0.7699, 0.4345, 0.3577)
Ir (0.4122, 0.2699, 0.3354)
Ir (0.6646, 0.4345, 0.5768)
Ir (0.4232, 0.0655, 0.3354)
Ir (0.9122, 0.0768, 0.6423)
Ir (0.6646, 0.2301, 0.5878)
Ir (0.2699, 0.8577, 0.9345)
Ir (0.8354, 0.9122, 0.2699)
Re (0.2500, 0.1250, 0.3750)
Re (0.3750, 0.7500, 0.6250)
Re (0.7500, 0.3750, 0.1250)
Re (0.3750, 0.6250, 0.2500)
Re (0.2500, 0.6250, 0.8750)
Re (0.1250, 0.8750, 0.7500)
Re (0.7500, 0.8750, 0.6250)
Re (0.6250, 0.2500, 0.3750)
Re (0.8750, 0.1250, 0.2500)
Re (0.8750, 0.7500, 0.1250)
Re (0.1250, 0.2500, 0.8750)
Re (0.6250, 0.3750, 0.7500)

For the density of states at the Fermi level, the calculation gives 27.78 states/eV/f.u. Its total DFT energy (no corrections) is -8.15 eV per atom. Its space group is Ia-3d. The calculation puts the energy of formation from the pure elements at 0.8721 eV/atom.


A relaxed Tm12Mg2Tl5 crystal, computed with PBE.

a b c (Å): 10.2181 8.2906 8.2958
angles (deg): 82.80 90.00 128.04
Atoms (fractional coordinates):
Tm (0.1008, 0.2016, 0.8533)
Tm (0.3833, 0.2243, 0.6083)
Tm (0.6167, 0.7757, 0.3917)
Tm (0.4181, 0.8361, 0.6876)
Tm (0.3202, 0.2861, 0.2016)
Tm (0.0341, 0.7139, 0.7984)
Tm (0.5819, 0.1639, 0.3124)
Tm (0.1591, 0.7757, 0.3917)
Tm (0.9659, 0.2861, 0.2016)
Tm (0.8992, 0.7984, 0.1467)
Tm (0.6798, 0.7139, 0.7984)
Tm (0.8409, 0.2243, 0.6083)
Mg (0.6801, 0.0000, 0.0000)
Mg (0.3199, 0.0000, 0.0000)
Tl (0.0000, 0.0000, 0.5000)
Tl (0.7604, 0.5207, 0.5211)
Tl (0.2396, 0.4793, 0.4789)
Tl (0.6788, 0.3575, 0.9498)
Tl (0.3212, 0.6425, 0.0502)

For the density of states at the Fermi level, the calculation gives 21.76 states/eV/f.u. Its total DFT energy (no corrections) is -3.68 eV per atom. Its space group is C2/m. The calculation puts the energy of formation from the pure elements at -0.0615 eV/atom.


Question: Which formula does entry 2 have?
Answer: Tm12Mg2Tl5


Question: Number 1 is which compound?
Answer: Re3Ir12Rh5


Question: Among the records above, which one has the lowest energy of formation from the pure elements?
Answer: Tm12Mg2Tl5


Question: Which formula does entry 2 have?
Answer: Tm12Mg2Tl5